Record 1
Below is a relaxed Hf2Be2Cu crystal, with properties calculated at the PBE-GGA level.

a b c (Å): 2.966 2.966 17.080
angles (deg): 90.00 90.00 90.00
Positions (direct):
Hf1 0.000 0.000 0.110
Hf2 0.000 0.000 0.890
Hf3 0.500 0.500 0.390
Hf4 0.500 0.500 0.610
Be1 0.000 0.500 0.250
Be2 0.000 0.500 0.750
Be3 0.500 0.000 0.250
Be4 0.500 0.000 0.750
Cu1 0.000 0.000 0.500
Cu2 0.500 0.500 0.000

Results
The spin magnetization is 0.00 μB/f.u. As for the total energy: -60.52 eV per cell. The energy above the most stable polymorph in this dataset is 420 meV per atom. For the energy relative to the elements, the calculation gives 239 meV/atom. Its space group is No. 139.

---

Record 2
Below is a relaxed Hf3Be7Cu2 crystal, with properties calculated at the PBE-GGA level.

a b c (Å): 8.026 8.026 8.026
angles (deg): 34.26 34.26 34.26
Positions (direct):
Hf1 0.000 0.000 0.000
Hf2 0.141 0.141 0.141
Hf3 0.859 0.859 0.859
Be1 0.081 0.584 0.584
Be2 0.416 0.416 0.919
Be3 0.416 0.919 0.416
Be4 0.500 0.500 0.500
Be5 0.584 0.081 0.584
Be6 0.584 0.584 0.081
Be7 0.919 0.416 0.416
Cu1 0.334 0.334 0.334
Cu2 0.666 0.666 0.666

Results
The spin magnetization is 1.16 μB/f.u. As for the total energy: -65.99 eV per cell. For the energy relative to the elements, the calculation gives -154 meV/atom. Its space group is No. 166.

---

Record 3
Below is a relaxed Hf6Be15Cu8 crystal, with properties calculated at the PBE-GGA level.

a b c (Å): 7.835 7.835 7.835
angles (deg): 60.00 60.00 60.00
Positions (direct):
Hf1 0.202 0.202 0.798
Hf2 0.202 0.798 0.202
Hf3 0.202 0.798 0.798
Hf4 0.798 0.202 0.202
Hf5 0.798 0.202 0.798
Hf6 0.798 0.798 0.202
Be1 0.000 0.000 0.500
Be2 0.000 0.500 0.000
Be3 0.000 0.500 0.500
Be4 0.176 0.176 0.176
Be5 0.176 0.176 0.473
Be6 0.176 0.473 0.176
Be7 0.473 0.176 0.176
Be8 0.500 0.000 0.000
Be9 0.500 0.000 0.500
Be10 0.500 0.500 0.000
Be11 0.500 0.500 0.500
Be12 0.527 0.824 0.824
Be13 0.824 0.527 0.824
Be14 0.824 0.824 0.527
Be15 0.824 0.824 0.824
Cu1 0.131 0.623 0.623
Cu2 0.377 0.377 0.377
Cu3 0.377 0.377 0.869
Cu4 0.377 0.869 0.377
Cu5 0.623 0.131 0.623
Cu6 0.623 0.623 0.131
Cu7 0.623 0.623 0.623
Cu8 0.869 0.377 0.377

Results
The spin magnetization is 0.00 μB/f.u. As for the total energy: -156.00 eV per cell. For the energy relative to the elements, the calculation gives -263 meV/atom. Its space group is No. 225.

---

Record 4
Below is a relaxed HfBeCu2 crystal, with properties calculated at the PBE-GGA level.

a b c (Å): 3.748 3.748 16.900
angles (deg): 90.00 90.00 90.00
Positions (direct):
Hf1 0.000 0.000 0.000
Hf2 0.000 0.500 0.250
Hf3 0.500 0.000 0.750
Hf4 0.500 0.500 0.500
Be1 0.000 0.000 0.500
Be2 0.000 0.500 0.750
Be3 0.500 0.000 0.250
Be4 0.500 0.500 0.000
Cu1 0.192 0.250 0.625
Cu2 0.250 0.692 0.875
Cu3 0.250 0.808 0.375
Cu4 0.308 0.250 0.125
Cu5 0.692 0.750 0.125
Cu6 0.750 0.192 0.375
Cu7 0.750 0.308 0.875
Cu8 0.808 0.750 0.625

Results
The spin magnetization is 0.00 μB/f.u. As for the total energy: -82.68 eV per cell. For the energy relative to the elements, the calculation gives 300 meV/atom. Its space group is No. 122.

---

Record 5
Below is a relaxed Hf2Be2Cu crystal, with properties calculated at the PBE-GGA level.

a b c (Å): 3.240 11.798 3.847
angles (deg): 90.00 90.00 90.00
Positions (direct):
Hf1 0.000 0.135 0.000
Hf2 0.000 0.865 0.000
Hf3 0.500 0.365 0.000
Hf4 0.500 0.635 0.000
Be1 0.000 0.305 0.500
Be2 0.000 0.695 0.500
Be3 0.500 0.195 0.500
Be4 0.500 0.805 0.500
Cu1 0.000 0.500 0.500
Cu2 0.500 0.000 0.500

Results
The spin magnetization is 0.00 μB/f.u. As for the total energy: -64.03 eV per cell. The energy above the most stable polymorph in this dataset is 69 meV per atom. For the energy relative to the elements, the calculation gives -112 meV/atom. Its space group is No. 65.

---

Record 6
Below is a relaxed HfBe3Cu10 crystal, with properties calculated at the PBE-GGA level.

a b c (Å): 7.857 7.857 7.857
angles (deg): 60.00 60.00 60.00
Positions (direct):
Hf1 0.250 0.250 0.250
Hf2 0.750 0.750 0.750
Be1 0.236 0.236 0.764
Be2 0.236 0.764 0.236
Be3 0.236 0.764 0.764
Be4 0.764 0.236 0.236
Be5 0.764 0.236 0.764
Be6 0.764 0.764 0.236
Cu1 0.114 0.114 0.114
Cu2 0.114 0.114 0.659
Cu3 0.114 0.659 0.114
Cu4 0.155 0.500 0.500
Cu5 0.155 0.500 0.845
Cu6 0.155 0.845 0.500
Cu7 0.341 0.886 0.886
Cu8 0.500 0.155 0.500
Cu9 0.500 0.155 0.845
Cu10 0.500 0.500 0.155
Cu11 0.500 0.500 0.845
Cu12 0.500 0.845 0.155
Cu13 0.500 0.845 0.500
Cu14 0.659 0.114 0.114
Cu15 0.845 0.155 0.500
Cu16 0.845 0.500 0.155
Cu17 0.845 0.500 0.500
Cu18 0.886 0.341 0.886
Cu19 0.886 0.886 0.341
Cu20 0.886 0.886 0.886

Results
The spin magnetization is 0.00 μB/f.u. As for the total energy: -122.43 eV per cell. For the energy relative to the elements, the calculation gives 63 meV/atom. Its space group is No. 225.

---

Record 7
Below is a relaxed HfBeCu3 crystal, with properties calculated at the PBE-GGA level.

a b c (Å): 4.859 4.859 4.859
angles (deg): 90.00 90.00 90.00
Positions (direct):
Hf1 0.000 0.000 0.000
Be1 0.500 0.500 0.500
Cu1 0.000 0.000 0.500
Cu2 0.000 0.500 0.000
Cu3 0.500 0.000 0.000

Results
The spin magnetization is 0.00 μB/f.u. As for the total energy: -17.54 eV per cell. The energy above the most stable polymorph in this dataset is 1546 meV per atom. For the energy relative to the elements, the calculation gives 1685 meV/atom. Its space group is No. 221.

---

Record 8
Below is a relaxed HfBe3Cu crystal, with properties calculated at the PBE-GGA level.

a b c (Å): 3.980 3.980 3.980
angles (deg): 90.00 90.00 90.00
Positions (direct):
Hf1 0.000 0.000 0.000
Be1 0.000 0.500 0.500
Be2 0.500 0.000 0.500
Be3 0.500 0.500 0.000
Cu1 0.500 0.500 0.500

Results
The spin magnetization is 0.00 μB/f.u. As for the total energy: -24.12 eV per cell. The energy above the most stable polymorph in this dataset is 0 meV per atom. For the energy relative to the elements, the calculation gives 222 meV/atom. Its space group is No. 221.

---

Record 9
Below is a relaxed Hf2Be2Cu crystal, with properties calculated at the PBE-GGA level.

a b c (Å): 6.195 6.195 3.801
angles (deg): 90.00 90.00 90.00
Positions (direct):
Hf1 0.172 0.328 0.000
Hf2 0.328 0.828 0.000
Hf3 0.672 0.172 0.000
Hf4 0.828 0.672 0.000
Be1 0.125 0.625 0.500
Be2 0.375 0.125 0.500
Be3 0.625 0.875 0.500
Be4 0.875 0.375 0.500
Cu1 0.000 0.000 0.500
Cu2 0.500 0.500 0.500

Results
The spin magnetization is 0.00 μB/f.u. As for the total energy: -64.72 eV per cell. The energy above the most stable polymorph in this dataset is 0 meV per atom. For the energy relative to the elements, the calculation gives -181 meV/atom. Its space group is No. 127.

---

Record 10
Below is a relaxed HfBeCu3 crystal, with properties calculated at the PBE-GGA level.

a b c (Å): 4.087 4.087 4.087
angles (deg): 90.00 90.00 90.00
Positions (direct):
Hf1 0.000 0.000 0.000
Be1 0.500 0.500 0.500
Cu1 0.000 0.500 0.500
Cu2 0.500 0.000 0.500
Cu3 0.500 0.500 0.000

Results
The spin magnetization is 0.00 μB/f.u. As for the total energy: -25.27 eV per cell. The energy above the most stable polymorph in this dataset is 0 meV per atom. For the energy relative to the elements, the calculation gives 139 meV/atom. Its space group is No. 221.

---

Record 11
Below is a relaxed Hf2Be5Cu5 crystal, with properties calculated at the PBE-GGA level.

a b c (Å): 3.813 4.593 8.219
angles (deg): 90.00 90.00 90.00
Positions (direct):
Hf1 0.000 0.000 0.000
Hf2 0.000 0.500 0.500
Be1 0.500 0.000 0.500
Be2 0.500 0.249 0.254
Be3 0.500 0.249 0.746
Be4 0.500 0.751 0.254
Be5 0.500 0.751 0.746
Cu1 0.000 0.000 0.333
Cu2 0.000 0.000 0.667
Cu3 0.000 0.500 0.180
Cu4 0.000 0.500 0.820
Cu5 0.500 0.500 0.000

Results
The spin magnetization is 0.00 μB/f.u. As for the total energy: -61.27 eV per cell. For the energy relative to the elements, the calculation gives -187 meV/atom. Its space group is No. 47.

---

Record 12
Below is a relaxed Hf2Be2Cu crystal, with properties calculated at the PBE-GGA level.

a b c (Å): 3.255 5.314 8.348
angles (deg): 90.00 90.00 90.00
Positions (direct):
Hf1 0.000 0.000 0.220
Hf2 0.000 0.000 0.780
Hf3 0.500 0.500 0.280
Hf4 0.500 0.500 0.720
Be1 0.000 0.294 0.500
Be2 0.000 0.706 0.500
Be3 0.500 0.206 0.000
Be4 0.500 0.794 0.000
Cu1 0.000 0.500 0.000
Cu2 0.500 0.000 0.500

Results
The spin magnetization is 0.00 μB/f.u. As for the total energy: -64.41 eV per cell. The energy above the most stable polymorph in this dataset is 31 meV per atom. For the energy relative to the elements, the calculation gives -150 meV/atom. Its space group is No. 71.

---

Which theoretical density belongs to each record? In order, 9.7; 8.2; 8.4; 8.8; 9.9; 8.1; 5.5; 7.1; 10.0; 9.2; 8.3; 10.1 g/cm3.